# ZrPbI2N | Alexandria via LeMat-Bulk | PBE | optimized geometry
# Fermi-level density of states	4.6	states/eV/cell
# energy relative to the elements, uncorrected	1.00	eV per atom
# offset from the most stable computed form	1.1867	eV/atom
# calculated total energy	-3.73	eV/atom
data_ZrPbI2N
_chemical_formula_sum 'Zr1 Pb1 I2 N1'
_cell_length_a 6.261
_cell_length_b 6.261
_cell_length_c 4.067
_cell_angle_alpha 90.00
_cell_angle_beta 90.00
_cell_angle_gamma 90.00
_symmetry_space_group_name_H-M 'P 4/m m m'
_symmetry_Int_Tables_number 123
_symmetry_space_group_name_Hall '-P 4 2'
loop_
_atom_site_label
_atom_site_type_symbol
_atom_site_fract_x
_atom_site_fract_y
_atom_site_fract_z
Zr1 Zr 0.000 0.000 0.000
Pb1 Pb 0.500 0.500 0.500
I1 I 0.000 0.500 0.500
N1 N 0.500 0.500 0.000

***

# TiV5C6 | Alexandria via LeMat-Bulk | PBE | optimized geometry
# Fermi-level density of states	12.5	states/eV/cell
# energy of formation from the pure elements	-0.482	eV per atom
# calculated total energy	-9.55	eV/atom
data_TiV5C6
_chemical_formula_sum 'Ti2 V10 C12'
_cell_length_a 5.129
_cell_length_b 8.892
_cell_length_c 5.129
_cell_angle_alpha 90.00
_cell_angle_beta 109.36
_cell_angle_gamma 90.00
_symmetry_space_group_name_H-M 'C 1 2/m 1'
_symmetry_Int_Tables_number 12
_symmetry_space_group_name_Hall '-C 2y'
loop_
_atom_site_label
_atom_site_type_symbol
_atom_site_fract_x
_atom_site_fract_y
_atom_site_fract_z
Ti1 Ti 0.000 0.000 0.000
V1 V 0.000 0.166 0.500
V2 V 0.000 0.334 0.000
V3 V 0.000 0.500 0.500
C1 C 0.247 0.332 0.746
C2 C 0.247 0.500 0.251

***

# KMgN2 | Alexandria via LeMat-Bulk | PBE | optimized geometry
# Fermi-level density of states	3.3	states/eV/cell
# energy relative to the elements, uncorrected	0.90	eV per atom
# calculated total energy	-3.93	eV/atom
data_KMgN2
_chemical_formula_sum 'K3 Mg3 N6'
_cell_length_a 3.5338
_cell_length_b 3.5338
_cell_length_c 20.4177
_cell_angle_alpha 90.00
_cell_angle_beta 90.00
_cell_angle_gamma 120.00
_symmetry_space_group_name_H-M 'R -3 m'
_symmetry_Int_Tables_number 166
_symmetry_space_group_name_Hall '-R 3 2"'
loop_
_atom_site_label
_atom_site_type_symbol
_atom_site_fract_x
_atom_site_fract_y
_atom_site_fract_z
K1 K 0.0000 0.0000 0.0000
Mg1 Mg 0.0000 0.0000 0.5000
N1 N 0.0000 0.0000 0.1240